No. 1
RuPbW2 PBE optimized geometry; magnetization = 0.000 Bohr magnetons per cell; uncorrected energy = -9.0709 eV/atom; ΔE_f = 0.6517 eV per atom; calculated density = 15.7 Mg/m³
1.0
2.989 0.000 0.000
0.000 4.028 0.000
0.000 0.000 5.944
Pb W Ru
1 2 1
direct
0.000 0.000 0.509
0.500 0.500 0.204
0.000 0.000 0.002
0.500 0.500 0.785

***

No. 2
RuPb2W PBE optimized geometry; magnetization = 1.280 Bohr magnetons per cell; uncorrected energy = -6.4178 eV/atom; ΔE_f = 0.9936 eV per atom; calculated density = 14.9 Mg/m³
1.0
0.669 -4.143 -2.318
-2.900 -1.218 -3.617
1.648 0.011 -4.502
Ru Pb W
1 2 1
direct
0.000 0.000 0.000
0.750 0.750 0.750
0.250 0.250 0.250
0.500 0.500 0.500

***

No. 3
RuPbW2 PBE optimized geometry; magnetization = 0.000 Bohr magnetons per cell; uncorrected energy = -9.0125 eV/atom; ΔE_f = 0.7102 eV per atom; calculated density = 15.8 Mg/m³
1.0
9.670 -0.012 -0.007
9.228 2.892 -0.007
9.228 1.407 2.527
Pb W Ru
1 2 1
direct
0.250 0.250 0.250
0.491 0.491 0.491
0.009 0.009 0.009
0.750 0.750 0.750

***

No. 4
RuPb2W PBE optimized geometry; magnetization = 0.001 Bohr magnetons per cell; uncorrected energy = -6.4527 eV/atom; ΔE_f = 0.9587 eV per atom; calculated density = 14.7 Mg/m³
1.0
4.789 -0.007 0.008
3.766 2.959 0.008
1.121 0.387 5.584
W Pb Ru
1 2 1
direct
0.250 0.250 0.250
0.005 0.005 0.994
0.495 0.495 0.506
0.750 0.750 0.750

***

No. 5
RuPbW2 PBE optimized geometry; magnetization = 0.000 Bohr magnetons per cell; uncorrected energy = -8.9804 eV/atom; ΔE_f = 0.7422 eV per atom; calculated density = 16.3 Mg/m³
1.0
4.903 -0.033 0.000
1.349 4.714 0.000
-3.126 -2.340 2.965
Pb Ru W
1 1 2
direct
0.500 0.500 0.000
0.750 0.250 0.500
0.000 0.000 0.000
0.250 0.750 0.500

***

No. 6
RuPb2W PBE optimized geometry; magnetization = 0.000 Bohr magnetons per cell; uncorrected energy = -6.7216 eV/atom; ΔE_f = 0.6898 eV per atom; calculated density = 13.5 Mg/m³
1.0
-3.058 -0.821 -4.368
-3.747 -3.138 -2.285
-5.540 1.964 0.352
Pb Ru W
2 1 1
direct
0.783 0.783 0.690
0.969 0.969 0.053
0.550 0.550 0.550
0.197 0.197 0.207